Computed, not measured: a geometry-optimized CuSN3 structure at the PBE-GGA level of DFT.

Geometry as POSCAR:
```
CuSN3
1.0
3.741 0.000 0.000
0.000 3.741 0.000
0.000 0.000 3.741
Cu S N
1 1 3
Direct
0.000 0.000 0.000
0.500 0.500 0.500
0.000 0.000 0.500
0.000 0.500 0.000
0.500 0.000 0.000
```

## Properties
- ρ: 4.4 Mg/m³
- Space group: No. 221
- Calculated total energy: -20.7 eV/cell
- Formation energy (no corrections): 2.5006 eV per atom
- Crystal system: cubic

***

Computed, not measured: a geometry-optimized PuIn2Br3Cl3 structure at the PBE-GGA level of DFT.

Geometry as POSCAR:
```
PuIn2Br3Cl3
1.0
8.105 0.000 0.000
-4.053 7.019 0.000
0.000 0.000 4.212
Pu In Br Cl
1 2 3 3
Direct
0.000 0.000 0.000
0.333 0.667 0.500
0.667 0.333 0.500
0.000 0.607 0.000
0.393 0.393 0.000
0.607 0.000 0.000
0.000 0.236 0.500
0.236 0.000 0.500
0.764 0.764 0.500
```

## Properties
- ρ: 5.7 Mg/m³
- Space group: No. 189
- Calculated total energy: -40.7 eV/cell
- Formation energy (no corrections): -1.1453 eV per atom
- Crystal system: hexagonal

***

Computed, not measured: a geometry-optimized As3PbS structure at the PBE-GGA level of DFT.

Geometry as POSCAR:
```
As3PbS
1.0
4.905 0.000 0.000
0.000 4.905 0.000
0.000 0.000 4.905
As Pb S
3 1 1
Direct
0.000 0.000 0.500
0.000 0.500 0.000
0.500 0.000 0.000
0.500 0.500 0.500
0.000 0.000 0.000
```

## Properties
- ρ: 6.5 Mg/m³
- Space group: No. 221
- Calculated total energy: -19.3 eV/cell
- Formation energy (no corrections): 0.4983 eV per atom
- Crystal system: cubic

***

Computed, not measured: a geometry-optimized NpMnFe structure at the PBE-GGA level of DFT.

Geometry as POSCAR:
```
NpMnFe
1.0
-1.282 1.282 6.091
1.282 -1.282 6.091
1.282 1.282 -6.091
Np Mn Fe
1 1 1
Direct
0.000 0.000 0.000
0.693 0.693 0.000
0.311 0.311 0.000
```

## Properties
- ρ: 14.4 Mg/m³
- Formation enthalpy at 0 K: 251 meV/atom
- Space group: No. 107
- Calculated total energy: -29.8 eV/cell
- Crystal system: tetragonal

***

Computed, not measured: a geometry-optimized LiMnSi structure at the PBE-GGA level of DFT.

Geometry as POSCAR:
```
LiMnSi
1.0
4.009 -1.336 0.000
4.009 1.336 0.000
-0.075 0.000 7.235
Li Mn Si
2 2 2
Direct
0.000 0.000 0.000
0.735 0.735 0.814
0.177 0.177 0.484
0.451 0.451 0.321
0.460 0.460 0.641
0.727 0.727 0.199
```

## Properties
- ρ: 3.9 Mg/m³
- Space group: No. 8
- Calculated total energy: -33.8 eV/cell
- Formation energy (no corrections): -0.1353 eV per atom
- Crystal system: monoclinic

***

Computed, not measured: a geometry-optimized Ag2TeI structure at the PBE-GGA level of DFT.

Geometry as POSCAR:
```
Ag2TeI
1.0
4.445 0.000 0.000
0.000 3.581 0.000
-0.001 0.000 7.640
Ag Te I
2 1 1
Direct
0.000 0.000 0.000
0.494 0.000 0.378
0.500 0.500 0.087
0.995 0.000 0.610
```

## Properties
- ρ: 6.4 Mg/m³
- Space group: No. 6
- Calculated total energy: -10.6 eV/cell
- Formation energy (no corrections): -0.0523 eV per atom
- Crystal system: monoclinic

***

Computed, not measured: a geometry-optimized Al2BTe structure at the PBE-GGA level of DFT.

Geometry as POSCAR:
```
Al2BTe
1.0
0.000 3.289 3.289
3.289 0.000 3.289
3.289 3.289 0.000
Al B Te
2 1 1
Direct
0.250 0.250 0.250
0.750 0.750 0.750
0.000 0.000 0.000
0.500 0.500 0.500
```

## Properties
- ρ: 4.5 Mg/m³
- Space group: No. 225
- Calculated total energy: -13.5 eV/cell
- Formation energy (no corrections): 0.9455 eV per atom
- Crystal system: cubic

***

Computed, not measured: a geometry-optimized BaZrSbO6 structure at the PBE-GGA level of DFT.

Geometry as POSCAR:
```
BaZrSbO6
1.0
5.607 0.000 0.000
-2.804 4.856 0.000
0.000 0.000 11.249
Ba Zr Sb O
2 2 2 12
Direct
0.000 0.000 0.000
0.000 0.000 0.500
0.333 0.667 0.250
0.667 0.333 0.750
0.333 0.667 0.750
0.667 0.333 0.250
0.015 0.396 0.650
0.015 0.619 0.850
0.381 0.396 0.850
0.381 0.985 0.650
0.396 0.015 0.150
0.396 0.381 0.350
0.604 0.619 0.650
0.604 0.985 0.850
0.619 0.015 0.350
0.619 0.604 0.150
0.985 0.381 0.150
0.985 0.604 0.350
```

## Properties
- ρ: 4.8 Mg/m³
- Space group: No. 163
- Calculated total energy: -129.0 eV/cell
- Formation energy (no corrections): -2.2419 eV per atom
- Crystal system: trigonal

***

Computed, not measured: a geometry-optimized PmHoThCd structure at the PBE-GGA level of DFT.

Geometry as POSCAR:
```
PmHoThCd
1.0
3.628 0.000 0.000
0.000 3.628 0.000
0.000 0.000 8.934
Pm Ho Th Cd
1 1 1 1
Direct
0.000 0.000 0.000
0.000 0.000 0.464
0.500 0.500 0.727
0.500 0.500 0.243
```

## Properties
- ρ: 9.2 Mg/m³
- Formation enthalpy at 0 K: -165 meV/atom
- Space group: No. 99
- Calculated total energy: -18.3 eV/cell
- Crystal system: tetragonal

***

Computed, not measured: a geometry-optimized Zr2Tc2Sb structure at the PBE-GGA level of DFT.

Geometry as POSCAR:
```
Zr2Tc2Sb
1.0
6.813 0.000 0.000
0.000 6.813 0.000
0.000 0.000 4.292
Zr Tc Sb
4 4 2
Direct
0.183 0.317 0.000
0.317 0.817 0.000
0.683 0.183 0.000
0.817 0.683 0.000
0.122 0.622 0.500
0.378 0.122 0.500
0.622 0.878 0.500
0.878 0.378 0.500
0.000 0.000 0.500
0.500 0.500 0.500
```

## Properties
- ρ: 8.3 Mg/m³
- Space group: No. 127
- Calculated total energy: -85.4 eV/cell
- Formation energy (no corrections): -0.1535 eV per atom
- Crystal system: tetragonal

***

Computed, not measured: a geometry-optimized CrCd3As structure at the PBE-GGA level of DFT.

Geometry as POSCAR:
```
CrCd3As
1.0
5.290 0.000 0.000
0.000 5.290 0.000
0.000 0.000 5.290
Cr Cd As
1 3 1
Direct
0.000 0.000 0.000
0.000 0.500 0.500
0.500 0.000 0.500
0.500 0.500 0.000
0.500 0.500 0.500
```

## Properties
- ρ: 5.2 Mg/m³
- Formation enthalpy at 0 K: 751 meV/atom
- Space group: No. 221
- Calculated total energy: -13.3 eV/cell
- Crystal system: cubic

***

Computed, not measured: a geometry-optimized Ba2LiSn structure at the PBE-GGA level of DFT.

Geometry as POSCAR:
```
Ba2LiSn
1.0
-2.744 2.744 11.625
2.744 -2.744 11.625
2.744 2.744 -11.625
Ba Li Sn
4 2 2
Direct
0.113 0.625 0.988
0.375 0.363 0.488
0.637 0.125 0.012
0.875 0.887 0.512
0.250 0.750 0.500
0.500 0.500 0.000
0.000 0.000 0.000
0.750 0.250 0.500
```

## Properties
- ρ: 3.8 Mg/m³
- Formation enthalpy at 0 K: 101 meV/atom
- Space group: No. 122
- Calculated total energy: -18.7 eV/cell
- Crystal system: tetragonal

***

Computed, not measured: a geometry-optimized TaTl2Br structure at the PBE-GGA level of DFT.

Geometry as POSCAR:
```
TaTl2Br
1.0
-1.590 2.329 8.193
1.590 -2.329 8.193
1.590 2.329 -8.193
Ta Tl Br
1 2 1
Direct
0.000 0.000 0.000
0.196 0.696 0.500
0.549 0.549 0.000
0.874 0.374 0.500
```

## Properties
- ρ: 9.2 Mg/m³
- Space group: No. 44
- Calculated total energy: -17.4 eV/cell
- Formation energy (no corrections): 0.2128 eV per atom
- Crystal system: orthorhombic

***

Computed, not measured: a geometry-optimized ZnCdAs structure at the PBE-GGA level of DFT.

Geometry as POSCAR:
```
ZnCdAs
1.0
-1.390 1.884 5.741
1.390 -1.884 5.741
1.390 1.884 -5.741
Zn Cd As
1 1 1
Direct
0.000 0.000 0.000
0.329 0.329 0.000
0.636 0.636 0.000
```

## Properties
- ρ: 7.0 Mg/m³
- Formation enthalpy at 0 K: 157 meV/atom
- Space group: No. 44
- Calculated total energy: -6.4 eV/cell
- Crystal system: orthorhombic

***

Computed, not measured: a geometry-optimized Cd2SBr structure at the PBE-GGA level of DFT.

Geometry as POSCAR:
```
Cd2SBr
1.0
-3.193 3.193 6.361
3.193 -3.193 6.361
3.193 3.193 -6.361
Cd S Br
4 2 2
Direct
0.076 0.625 0.951
0.375 0.326 0.451
0.674 0.125 0.049
0.875 0.924 0.549
0.000 0.000 0.000
0.750 0.250 0.500
0.250 0.750 0.500
0.500 0.500 0.000
```

## Properties
- ρ: 4.3 Mg/m³
- Space group: No. 122
- Calculated total energy: -18.4 eV/cell
- Formation energy (no corrections): -0.3962 eV per atom
- Crystal system: tetragonal

***

Computed, not measured: a geometry-optimized ThGaBi2 structure at the PBE-GGA level of DFT.

Geometry as POSCAR:
```
ThGaBi2
1.0
1.704 0.984 12.297
-1.704 0.984 12.297
0.000 -1.968 12.297
Th Ga Bi
1 1 2
Direct
0.000 0.000 0.000
0.500 0.500 0.500
0.092 0.092 0.092
0.908 0.908 0.908
```

## Properties
- ρ: 9.7 Mg/m³
- Formation enthalpy at 0 K: 210 meV/atom
- Space group: No. 166
- Calculated total energy: -17.4 eV/cell
- Crystal system: trigonal

***

Computed, not measured: a geometry-optimized AsRuRhBr2 structure at the PBE-GGA level of DFT.

Geometry as POSCAR:
```
AsRuRhBr2
1.0
5.211 0.000 0.000
0.000 5.211 0.000
0.000 0.000 4.613
As Ru Rh Br
1 1 1 2
Direct
0.000 0.000 0.000
0.500 0.500 0.000
0.000 0.000 0.500
0.000 0.500 0.500
0.500 0.000 0.500
```

## Properties
- ρ: 5.8 Mg/m³
- Space group: No. 123
- Calculated total energy: -20.0 eV/cell
- Formation energy (no corrections): 0.9290 eV per atom
- Crystal system: tetragonal

***

Computed, not measured: a geometry-optimized LiCeMg2Ga2 structure at the PBE-GGA level of DFT.

Geometry as POSCAR:
```
LiCeMg2Ga2
1.0
4.670 0.000 0.000
-2.335 4.044 0.000
0.000 0.000 6.670
Li Ce Mg Ga
1 1 2 2
Direct
0.000 0.000 0.000
0.000 0.000 0.500
0.333 0.667 0.178
0.667 0.333 0.822
0.333 0.667 0.723
0.667 0.333 0.277
```

## Properties
- ρ: 4.4 Mg/m³
- Formation enthalpy at 0 K: -319 meV/atom
- Space group: No. 164
- Calculated total energy: -19.0 eV/cell
- Crystal system: trigonal

***

Computed, not measured: a geometry-optimized Li5PPt6 structure at the PBE-GGA level of DFT.

Geometry as POSCAR:
```
Li5PPt6
1.0
6.576 -2.927 0.000
6.576 2.927 0.000
-1.318 0.000 3.994
Li P Pt
5 1 6
Direct
0.000 0.000 0.000
0.168 0.168 0.665
0.328 0.328 0.331
0.672 0.672 0.669
0.832 0.832 0.335
0.500 0.500 0.000
0.091 0.584 0.840
0.255 0.745 0.500
0.416 0.909 0.160
0.584 0.091 0.840
0.745 0.255 0.500
0.909 0.416 0.160
```

## Properties
- ρ: 13.4 Mg/m³
- Formation enthalpy at 0 K: -577 meV/atom
- Space group: No. 12
- Calculated total energy: -58.1 eV/cell
- Crystal system: monoclinic

***

Computed, not measured: a geometry-optimized Tb2DyErRh4 structure at the PBE-GGA level of DFT.

Geometry as POSCAR:
```
Tb2DyErRh4
1.0
2.420 1.397 7.919
-2.420 1.397 7.919
0.000 -2.795 7.919
Tb Dy Er Rh
2 1 1 4
Direct
0.250 0.250 0.250
0.750 0.750 0.750
0.500 0.500 0.500
0.000 0.000 0.000
0.125 0.125 0.125
0.375 0.375 0.375
0.625 0.625 0.625
0.875 0.875 0.875
```

## Properties
- ρ: 10.9 Mg/m³
- Formation enthalpy at 0 K: -880 meV/atom
- Space group: No. 166
- Calculated total energy: -54.9 eV/cell
- Crystal system: trigonal